P) # KGdBi2

A relaxed structure of KGdBi2 (PBE-GGA, Alexandria).

Properties
Space-group type = P4/mmm, No. 123

Unit cell a=4.231 b=4.231 c=7.827 alpha=90.00 beta=90.00 gamma=90.00
Fractional positions:
K 0.000 0.000 0.000
Gd 0.000 0.000 0.500
Bi 0.500 0.500 0.299
Bi 0.500 0.500 0.701


Q) # KGdBi2

A relaxed structure of KGdBi2 (PBE-GGA, Alexandria).

Properties
Space-group type = R-3m, No. 166

Unit cell a=4.899 b=4.899 c=23.014 alpha=90.00 beta=90.00 gamma=120.00
Fractional positions:
K 0.000 0.000 0.000
K 0.333 0.667 0.667
K 0.667 0.333 0.333
Gd 0.000 0.000 0.500
Gd 0.333 0.667 0.167
Gd 0.667 0.333 0.833
Bi 0.000 0.000 0.229
Bi 0.000 0.000 0.771
Bi 0.333 0.667 0.437
Bi 0.333 0.667 0.896
Bi 0.667 0.333 0.104
Bi 0.667 0.333 0.563


Which is most stable, and by how much? P), by 0.159 eV/atom.